Here is a relaxed structure of MnCuAuF6 from Alexandria. Energies are from PBE with a Hubbard U.

CIF file:
```
data_MnCuAuF6
_symmetry_space_group_name_H-M 'P -3 1 c'
_symmetry_Int_Tables_number 163
_symmetry_space_group_name_Hall '-P 3 2c'
_cell_length_a 5.4228
_cell_length_b 5.4228
_cell_length_c 9.7955
_cell_angle_alpha 90.00
_cell_angle_beta 90.00
_cell_angle_gamma 120.00
loop_
_atom_site_label
_atom_site_fract_x
_atom_site_fract_y
_atom_site_fract_z
Mn1 0.3333 0.6667 0.2500
Cu1 0.3333 0.6667 0.7500
Au1 0.0000 0.0000 0.0000
F1 0.0130 0.3562 0.6381
```

Magnetization   11.58 μB/cell
Energy   -81.20 eV/cell